# TmPa2MoC4 | the Alexandria database | PBE | optimized geometry
data_TmPa2MoC4
_chemical_formula_sum 'Tm4 Pa8 Mo4 C16'
_cell_length_a 3.607
_cell_length_b 11.854
_cell_length_c 11.820
_cell_angle_alpha 90.00
_cell_angle_beta 90.00
_cell_angle_gamma 90.00
_symmetry_space_group_name_H-M 'C m c m'
_symmetry_Int_Tables_number 63
_symmetry_space_group_name_Hall '-C 2c 2'
loop_
_atom_site_label
_atom_site_fract_x
_atom_site_fract_y
_atom_site_fract_z
Tm1 0.000 0.135 0.250
Pa1 0.000 0.369 0.040
Mo1 0.000 0.129 0.750
C1 0.000 0.000 0.000
C2 0.000 0.257 0.628
C3 0.000 0.451 0.250
# Total magnetic moment (μB/f.u.): 0.0
# Crystal system: orthorhombic
# E_form (eV per atom): -0.096
# V (Å³/atom): 15.796